Below is a relaxed structure of InWC3, with properties calculated at the GGA-PBE level.

The structure in POSCAR format:
```
InWC3
1.0
-3.457 1.237 -1.964
-1.311 -3.948 -0.179
-1.915 0.470 3.668
C W In
3 1 1
Cartesian
-0.656 -1.974 -0.089 C
-0.958 0.235 1.834 C
-1.729 0.619 -0.982 C
0.000 0.000 0.000 W
-3.342 -1.121 0.762 In
```

## Properties
Its formation energy is 1678.4 meV per atom. The relative energy among the computed polymorphs is 0.0 kJ/mol of formula units. The spin magnetization is 0.0 μB/f.u.

---

Below is a relaxed structure of Tc2TeOs, with properties calculated at the GGA-PBE level.

The structure in POSCAR format:
```
Tc2TeOs
1.0
-1.862 -3.974 2.080
-2.016 -2.761 -3.450
4.403 2.022 0.321
Os Tc Te
1 2 1
Cartesian
0.302 -2.659 0.858 Os
0.000 0.000 0.000 Tc
-1.939 -3.367 -0.685 Tc
0.225 -2.053 -1.907 Te
```

## Properties
The value obtained for the energy relative to the elements, uncorrected is 0.53 eV per atom. The relative energy among the computed polymorphs is 44.2 kJ/mol of formula units. The spin magnetization is 0.0 μB/f.u.

---

Below is a relaxed structure of SmReSi2Os, with properties calculated at the GGA-PBE level.

The structure in POSCAR format:
```
SmReSi2Os
1.0
-4.006 0.967 0.574
0.076 -1.886 3.708
3.322 4.792 0.035
Sm Re Si Os
1 1 2 1
Cartesian
0.000 0.000 0.000 Sm
-1.324 2.650 1.375 Re
-1.624 0.628 2.687 Si
1.017 3.246 1.630 Si
0.717 1.224 2.942 Os
```

## Properties
The value obtained for the energy relative to the elements, uncorrected is -0.56 eV per atom. The spin magnetization is 0.0 μB/f.u.

---

Below is a relaxed structure of P2PdSeCl, with properties calculated at the GGA-PBE level.

The structure in POSCAR format:
```
P2PdSeCl
1.0
4.726 0.000 0.000
0.000 4.726 0.000
0.000 0.000 4.716
P Se Pd Cl
2 1 1 1
Cartesian
0.000 2.363 0.000 P
2.363 0.000 0.000 P
2.363 2.363 2.358 Se
0.000 0.000 0.000 Pd
0.000 0.000 2.358 Cl
```

## Properties
The value obtained for the energy relative to the elements, uncorrected is 0.64 eV per atom. The relative energy among the computed polymorphs is 0.0 kJ/mol of formula units. The spin magnetization is 0.2 μB/f.u.

---

Below is a relaxed structure of MgZnGa, with properties calculated at the GGA-PBE level.

The structure in POSCAR format:
```
MgZnGa
1.0
3.328 0.000 0.000
0.000 3.328 0.000
-1.664 -1.664 4.970
Zn Mg Ga
1 1 1
Cartesian
1.664 1.664 1.242 Zn
1.664 1.664 4.503 Mg
0.000 0.000 2.704 Ga
```

## Properties
Its formation energy is -52.7 meV per atom. The spin magnetization is 0.0 μB/f.u.

---

Below is a relaxed structure of BaTh2Sc, with properties calculated at the GGA-PBE level.

The structure in POSCAR format:
```
BaTh2Sc
1.0
3.517 0.000 0.000
1.759 3.046 0.000
1.759 1.015 12.777
Sc Ba Th
1 1 2
Cartesian
3.517 2.031 6.388 Sc
0.000 0.000 0.000 Ba
1.759 1.015 9.148 Th
5.276 3.046 3.629 Th
```

## Properties
Its formation energy is 331.1 meV per atom. The spin magnetization is 0.0 μB/f.u.